Record 1
# InTc2P

Crystalline InTc2P at its relaxed geometry (PBE, Alexandria).

Its density is 8.91 g/cm3. For the distance to the lowest polymorph of the same formula, the calculation gives 0.2126 eV/atom. As for the formation energy: 0.082 eV/atom. As for the magnetic moment: 0.00 μB per atom.

It has space group Immm (No. 71), with a = 3.040 Å, b = 5.006 Å, c = 8.372 Å, α = 90.00°, β = 90.00° and γ = 90.00°. Symmetry generates all atoms from In at (0.000, 0.000, 0.000), Tc at (0.000, 0.500, 0.211) and P at (0.000, 0.000, 0.500).



Record 2
# InTeP2

Crystalline InTeP2 at its relaxed geometry (PBE, Alexandria).

The calculation puts the formation energy from raw total energies at 0.29 eV/f.u. Its density is 4.84 g/cm3. For the distance to the lowest polymorph of the same formula, the calculation gives 0.0000 eV/atom. As for the magnetic moment: 0.00 μB per atom.

It has space group Cm (No. 8), with a = 7.946 Å, b = 3.147 Å, c = 8.350 Å, α = 90.00°, β = 91.84° and γ = 90.00°. Symmetry generates all atoms from In at (0.000, 0.000, 0.000), Te at (0.244, 0.500, 0.274), P at (0.085, 0.500, 0.603) and P at (0.218, 0.000, 0.729).



Record 3
# InTeP2

Crystalline InTeP2 at its relaxed geometry (PBE, Alexandria).

The calculation puts the formation energy from raw total energies at 2.16 eV/f.u. Its density is 6.12 g/cm3. For the distance to the lowest polymorph of the same formula, the calculation gives 0.4665 eV/atom. As for the magnetic moment: 0.00 μB per atom.

It has space group P4/mmm (No. 123), with a = 3.449 Å, b = 3.449 Å, c = 6.941 Å, α = 90.00°, β = 90.00° and γ = 90.00°. Symmetry generates all atoms from In at (0.000, 0.000, 0.000), Te at (0.000, 0.000, 0.500) and P at (0.500, 0.500, 0.248).



Record 4
# InTe3P

Crystalline InTe3P at its relaxed geometry (PBE, Alexandria).

The calculation puts the formation energy from raw total energies at 4.92 eV/f.u. Its density is 4.79 g/cm3. For the distance to the lowest polymorph of the same formula, the calculation gives 0.9753 eV/atom. As for the magnetic moment: 0.27 μB per atom.

It has space group Pm-3m (No. 221), with a = 5.681 Å, b = 5.681 Å, c = 5.681 Å, α = 90.00°, β = 90.00° and γ = 90.00°. Symmetry generates all atoms from In at (0.000, 0.000, 0.000), Te at (0.000, 0.000, 0.500) and P at (0.500, 0.500, 0.500).



Record 5
# InTe3P

Crystalline InTe3P at its relaxed geometry (PBE, Alexandria).

The calculation puts the formation energy from raw total energies at 1.30 eV/f.u. Its density is 5.78 g/cm3. For the distance to the lowest polymorph of the same formula, the calculation gives 0.2509 eV/atom. As for the magnetic moment: 0.00 μB per atom.

It has space group Pm-3m (No. 221), with a = 5.335 Å, b = 5.335 Å, c = 5.335 Å, α = 90.00°, β = 90.00° and γ = 90.00°. Symmetry generates all atoms from In at (0.000, 0.000, 0.000), Te at (0.000, 0.500, 0.500) and P at (0.500, 0.500, 0.500).



Record 6
# InTeP2

Crystalline InTeP2 at its relaxed geometry (PBE, Alexandria).

The calculation puts the formation energy from raw total energies at 1.29 eV/f.u. Its density is 4.48 g/cm3. For the distance to the lowest polymorph of the same formula, the calculation gives 0.2482 eV/atom. As for the magnetic moment: 0.00 μB per atom.

It has space group I-42d (No. 122), with a = 5.630 Å, b = 5.630 Å, c = 14.241 Å, α = 90.00°, β = 90.00° and γ = 90.00°. Symmetry generates all atoms from In at (0.000, 0.000, 0.000), Te at (0.000, 0.000, 0.500) and P at (0.247, 0.250, 0.125).



Record 7
# In3TeP

Crystalline In3TeP at its relaxed geometry (PBE, Alexandria).

The calculation puts the formation energy from raw total energies at 0.48 eV/f.u. Its density is 5.53 g/cm3. For the distance to the lowest polymorph of the same formula, the calculation gives 0.0000 eV/atom. As for the magnetic moment: 0.00 μB per atom.

It has space group Pm-3m (No. 221), with a = 5.325 Å, b = 5.325 Å, c = 5.325 Å, α = 90.00°, β = 90.00° and γ = 90.00°. Symmetry generates all atoms from In at (0.000, 0.000, 0.500), Te at (0.500, 0.500, 0.500) and P at (0.000, 0.000, 0.000).



Record 8
# InTe4P

Crystalline InTe4P at its relaxed geometry (PBE, Alexandria).

The calculation puts the formation energy from raw total energies at 3.80 eV/f.u. Its density is 5.89 g/cm3. As for the magnetic moment: 0.33 μB per atom.

It has space group F-43m (No. 216), with a = 9.047 Å, b = 9.047 Å, c = 9.047 Å, α = 90.00°, β = 90.00° and γ = 90.00°. Symmetry generates all atoms from In at (0.000, 0.000, 0.000), Te at (0.124, 0.124, 0.376) and P at (0.250, 0.250, 0.750).



Record 9
# InTe3P

Crystalline InTe3P at its relaxed geometry (PBE, Alexandria).

The calculation puts the formation energy from raw total energies at 0.05 eV/f.u. Its density is 5.67 g/cm3. For the distance to the lowest polymorph of the same formula, the calculation gives 0.0000 eV/atom. As for the magnetic moment: 0.00 μB per atom.

It has space group P-31m (No. 162), with a = 7.2081 Å, b = 7.2081 Å, c = 6.8761 Å, α = 90.00°, β = 90.00° and γ = 120.00°. Symmetry generates all atoms from In at (0.3333, 0.6667, 0.0000), Te at (0.0000, 0.3399, 0.7128) and P at (0.0000, 0.0000, 0.1697).



Record 10
# In4TeP

Crystalline In4TeP at its relaxed geometry (PBE, Alexandria).

The calculation puts the formation energy from raw total energies at 2.48 eV/f.u. Its density is 6.11 g/cm3. As for the magnetic moment: 0.21 μB per atom.

It has space group F-43m (No. 216), with a = 8.759 Å, b = 8.759 Å, c = 8.759 Å, α = 90.00°, β = 90.00° and γ = 90.00°. Symmetry generates all atoms from In at (0.125, 0.125, 0.125), Te at (0.000, 0.000, 0.500) and P at (0.250, 0.250, 0.750).



Record 11
# In2TeP2

Crystalline In2TeP2 at its relaxed geometry (PBE, Alexandria).

The calculation puts the formation energy from raw total energies at 0.79 eV/f.u. Its density is 5.91 g/cm3. As for the magnetic moment: 0.00 μB per atom.

It has space group I4/mmm (No. 139), with a = 3.659 Å, b = 3.659 Å, c = 17.607 Å, α = 90.00°, β = 90.00° and γ = 90.00°. Symmetry generates all atoms from In at (0.000, 0.000, 0.112), Te at (0.000, 0.000, 0.500) and P at (0.000, 0.500, 0.250).



Record 12
# InTeP2

Crystalline InTeP2 at its relaxed geometry (PBE, Alexandria).

The calculation puts the formation energy from raw total energies at 2.18 eV/f.u. Its density is 6.13 g/cm3. For the distance to the lowest polymorph of the same formula, the calculation gives 0.4721 eV/atom. As for the magnetic moment: 0.00 μB per atom.

It has space group Fm-3m (No. 225), with a = 6.909 Å, b = 6.909 Å, c = 6.909 Å, α = 90.00°, β = 90.00° and γ = 90.00°. Symmetry generates all atoms from In at (0.000, 0.000, 0.000), Te at (0.000, 0.000, 0.500) and P at (0.250, 0.250, 0.250).